(1)
Here is crystalline Cd2NiSe at its relaxed geometry from Alexandria via LeMat-Bulk. Energies are from PBE-GGA.

a b c (Å): 3.440 3.440 6.807
angles (deg): 90.00 90.00 90.00
Space group P4mm (No. 99)
Inequivalent atoms, fractional coordinates:
Cd  0.000  0.000  0.000 x1
Cd  0.500  0.500  0.258 x1
Ni  0.000  0.000  0.604 x1
Se  0.500  0.500  0.657 x1

(2)
Here is crystalline Cd2NiSe at its relaxed geometry from Alexandria via LeMat-Bulk. Energies are from PBE-GGA.

a b c (Å): 3.597 3.603 5.773
angles (deg): 90.00 90.15 90.00
Space group P2/m (No. 10)
Inequivalent atoms, fractional coordinates:
Cd  0.001  0.000  0.264 x2
Ni  0.500  0.500  0.500 x1
Se  0.500  0.500  0.000 x1

(3)
Here is crystalline Cd2NiSe at its relaxed geometry from Alexandria via LeMat-Bulk. Energies are from PBE-GGA.

a b c (Å): 5.538 10.583 3.119
angles (deg): 90.00 122.67 90.00
Space group C2/m (No. 12)
Inequivalent atoms, fractional coordinates:
Cd  0.250  0.250  0.000 x4
Ni  0.000  0.000  0.000 x2
Se  0.000  0.500  0.000 x2

(4)
Here is crystalline Cd2NiSe at its relaxed geometry from Alexandria via LeMat-Bulk. Energies are from PBE-GGA.

a b c (Å): 4.054 3.335 6.224
angles (deg): 90.00 108.89 90.00
Space group Pm (No. 6)
Inequivalent atoms, fractional coordinates:
Cd  0.000  0.000  0.000 x1
Cd  0.336  0.500  0.671 x1
Ni  0.775  0.000  0.549 x1
Se  0.633  0.500  0.263 x1

(5)
Here is crystalline Cd2NiSe at its relaxed geometry from Alexandria via LeMat-Bulk. Energies are from PBE-GGA.

a b c (Å): 5.723 7.087 3.749
angles (deg): 90.00 90.00 90.00
Space group Cmmm (No. 65)
Inequivalent atoms, fractional coordinates:
Cd  0.250  0.250  0.000 x4
Ni  0.000  0.000  0.500 x2
Se  0.000  0.500  0.500 x2

(6)
Here is crystalline CdNiSe2 at its relaxed geometry from Alexandria via LeMat-Bulk. Energies are from PBE-GGA.

a b c (Å): 3.489 4.539 11.789
angles (deg): 90.00 90.00 90.00
Space group Immm (No. 71)
Inequivalent atoms, fractional coordinates:
Cd  0.000  0.000  0.000 x2
Ni  0.000  0.000  0.500 x2
Se  0.000  0.500  0.138 x4

(7)
Here is crystalline CdNiSe2 at its relaxed geometry from Alexandria via LeMat-Bulk. Energies are from PBE-GGA.

a b c (Å): 2.944 2.944 9.353
angles (deg): 90.00 90.00 90.00
Space group P4mm (No. 99)
Inequivalent atoms, fractional coordinates:
Cd  0.000  0.000  0.000 x1
Ni  0.500  0.500  0.214 x1
Se  0.000  0.000  0.352 x1
Se  0.500  0.500  0.728 x1

(8)
Here is crystalline CdNiSe2 at its relaxed geometry from Alexandria via LeMat-Bulk. Energies are from PBE-GGA.

a b c (Å): 3.128 3.611 7.744
angles (deg): 90.00 90.00 90.00
Space group Pmm2 (No. 25)
Inequivalent atoms, fractional coordinates:
Cd  0.000  0.000  0.000 x1
Ni  0.500  0.500  0.272 x1
Se  0.000  0.000  0.354 x1
Se  0.500  0.500  0.807 x1

(9)
Here is crystalline CdNi3Se at its relaxed geometry from Alexandria via LeMat-Bulk. Energies are from PBE-GGA.

a b c (Å): 4.672 4.672 4.672
angles (deg): 90.00 90.00 90.00
Space group Pm-3m (No. 221)
Inequivalent atoms, fractional coordinates:
Cd  0.000  0.000  0.000 x1
Ni  0.000  0.000  0.500 x3
Se  0.500  0.500  0.500 x1

(10)
Here is crystalline CdNiSe2 at its relaxed geometry from Alexandria via LeMat-Bulk. Energies are from PBE-GGA.

a b c (Å): 3.341 3.693 12.733
angles (deg): 90.00 90.00 90.00
Space group Imm2 (No. 44)
Inequivalent atoms, fractional coordinates:
Cd  0.000  0.000  0.000 x2
Ni  0.000  0.500  0.739 x2
Se  0.000  0.000  0.381 x2
Se  0.000  0.500  0.173 x2

(11)
Here is crystalline Cd2NiSe at its relaxed geometry from Alexandria via LeMat-Bulk. Energies are from PBE-GGA.

a b c (Å): 3.9253 3.9253 18.8071
angles (deg): 90.00 90.00 120.00
Space group R-3m (No. 166, hexagonal axes)
Inequivalent atoms, fractional coordinates:
Cd  0.0000  0.0000  0.2421 x6
Ni  0.0000  0.0000  0.5000 x3
Se  0.0000  0.0000  0.0000 x3

(12)
Here is crystalline CdNiSe2 at its relaxed geometry from Alexandria via LeMat-Bulk. Energies are from PBE-GGA.

a b c (Å): 7.880 3.551 6.892
angles (deg): 90.00 115.52 90.00
Space group C2/m (No. 12)
Inequivalent atoms, fractional coordinates:
Cd  0.000  0.000  0.000 x2
Ni  0.000  0.500  0.500 x2
Se  0.159  0.000  0.728 x4

(13)
Here is crystalline CdNiSe2 at its relaxed geometry from Alexandria via LeMat-Bulk. Energies are from PBE-GGA.

a b c (Å): 3.7118 3.7118 19.4491
angles (deg): 90.00 90.00 120.00
Space group R-3m (No. 166, hexagonal axes)
Inequivalent atoms, fractional coordinates:
Cd  0.0000  0.0000  0.0000 x3
Ni  0.0000  0.0000  0.5000 x3
Se  0.0000  0.0000  0.2327 x6

(14)
Here is crystalline Cd2NiSe at its relaxed geometry from Alexandria via LeMat-Bulk. Energies are from PBE-GGA.

a b c (Å): 9.469 3.157 6.242
angles (deg): 90.00 110.57 90.00
Space group Cm (No. 8)
Inequivalent atoms, fractional coordinates:
Cd  0.000  0.000  0.000 x2
Cd  0.210  0.000  0.729 x2
Ni  0.249  0.500  0.101 x2
Se  0.335  0.000  0.388 x2

(15)
Here is crystalline CdNiSe2 at its relaxed geometry from Alexandria via LeMat-Bulk. Energies are from PBE-GGA.

a b c (Å): 4.729 4.729 3.359
angles (deg): 90.00 90.00 90.00
Space group P4/mmm (No. 123)
Inequivalent atoms, fractional coordinates:
Cd  0.000  0.000  0.000 x1
Ni  0.500  0.500  0.000 x1
Se  0.000  0.500  0.500 x2

(16)
Here is crystalline CdNi4Se8 at its relaxed geometry from Alexandria via LeMat-Bulk. Energies are from PBE-GGA.

a b c (Å): 10.391 10.391 10.391
angles (deg): 90.00 90.00 90.00
Space group F-43m (No. 216)
Inequivalent atoms, fractional coordinates:
Cd  0.000  0.000  0.000 x4
Ni  0.121  0.121  0.379 x16
Se  0.109  0.109  0.609 x16
Se  0.144  0.144  0.144 x16

(17)
Here is crystalline CdNiSe2 at its relaxed geometry from Alexandria via LeMat-Bulk. Energies are from PBE-GGA.

a b c (Å): 3.623 3.669 7.729
angles (deg): 90.00 90.00 90.00
Space group Pmmm (No. 47)
Inequivalent atoms, fractional coordinates:
Cd  0.000  0.000  0.000 x1
Ni  0.000  0.500  0.500 x1
Se  0.500  0.000  0.500 x1
Se  0.500  0.500  0.000 x1

(18)
Here is crystalline CdNiSe2 at its relaxed geometry from Alexandria via LeMat-Bulk. Energies are from PBE-GGA.

a b c (Å): 5.344 5.344 5.688
angles (deg): 90.00 90.00 90.00
Space group I4/mmm (No. 139)
Inequivalent atoms, fractional coordinates:
Cd  0.000  0.000  0.000 x2
Ni  0.000  0.000  0.500 x2
Se  0.000  0.500  0.000 x4

(19)
Here is crystalline Cd2NiSe at its relaxed geometry from Alexandria via LeMat-Bulk. Energies are from PBE-GGA.

a b c (Å): 3.005 4.508 11.911
angles (deg): 90.00 90.00 90.00
Space group Imm2 (No. 44)
Inequivalent atoms, fractional coordinates:
Cd  0.000  0.000  0.000 x2
Cd  0.000  0.500  0.171 x2
Ni  0.000  0.500  0.696 x2
Se  0.000  0.000  0.352 x2

(20)
Here is crystalline CdNiSe2 at its relaxed geometry from Alexandria via LeMat-Bulk. Energies are from PBE-GGA.

a b c (Å): 12.135 3.555 4.414
angles (deg): 90.00 108.53 90.00
Space group Cm (No. 8)
Inequivalent atoms, fractional coordinates:
Cd  0.000  0.000  0.000 x2
Ni  0.261  0.500  0.939 x2
Se  0.146  0.000  0.669 x2
Se  0.369  0.000  0.243 x2

(21)
Here is crystalline CdNiSe2 at its relaxed geometry from Alexandria via LeMat-Bulk. Energies are from PBE-GGA.

a b c (Å): 6.699 6.699 6.699
angles (deg): 90.00 90.00 90.00
Space group F-43m (No. 216)
Inequivalent atoms, fractional coordinates:
Cd  0.000  0.000  0.000 x4
Ni  0.250  0.250  0.250 x4
Se  0.000  0.000  0.500 x4
Se  0.250  0.250  0.750 x4

(22)
Here is crystalline CdNiSe4 at its relaxed geometry from Alexandria via LeMat-Bulk. Energies are from PBE-GGA.

a b c (Å): 8.049 8.049 8.049
angles (deg): 90.00 90.00 90.00
Space group F-43m (No. 216)
Inequivalent atoms, fractional coordinates:
Cd  0.000  0.000  0.000 x4
Ni  0.250  0.250  0.750 x4
Se  0.125  0.125  0.375 x16

(23)
Here is crystalline Cd2NiSe at its relaxed geometry from Alexandria via LeMat-Bulk. Energies are from PBE-GGA.

a b c (Å): 4.082 4.135 8.825
angles (deg): 90.00 90.00 90.00
Space group Immm (No. 71)
Inequivalent atoms, fractional coordinates:
Cd  0.000  0.000  0.248 x4
Ni  0.000  0.500  0.500 x2
Se  0.000  0.500  0.000 x2

(24)
Here is crystalline Cd2NiSe at its relaxed geometry from Alexandria via LeMat-Bulk. Energies are from PBE-GGA.

a b c (Å): 4.108 4.108 8.901
angles (deg): 90.00 90.00 90.00
Space group I-4m2 (No. 119)
Inequivalent atoms, fractional coordinates:
Cd  0.000  0.000  0.000 x2
Cd  0.000  0.500  0.250 x2
Ni  0.000  0.500  0.750 x2
Se  0.000  0.000  0.500 x2

(25)
Here is crystalline CdNi2Se2 at its relaxed geometry from Alexandria via LeMat-Bulk. Energies are from PBE-GGA.

a b c (Å): 4.739 4.739 8.052
angles (deg): 90.00 90.00 90.00
Space group I4/mmm (No. 139)
Inequivalent atoms, fractional coordinates:
Cd  0.000  0.000  0.000 x2
Ni  0.000  0.000  0.329 x4
Se  0.000  0.500  0.250 x4

(26)
Here is crystalline CdNi3Se at its relaxed geometry from Alexandria via LeMat-Bulk. Energies are from PBE-GGA.

a b c (Å): 4.367 4.367 4.367
angles (deg): 90.00 90.00 90.00
Space group Pm-3m (No. 221)
Inequivalent atoms, fractional coordinates:
Cd  0.000  0.000  0.000 x1
Ni  0.000  0.500  0.500 x3
Se  0.500  0.500  0.500 x1

(27)
Here is crystalline CdNiSe2 at its relaxed geometry from Alexandria via LeMat-Bulk. Energies are from PBE-GGA.

a b c (Å): 5.842 5.842 11.261
angles (deg): 90.00 90.00 90.00
Space group I-42d (No. 122)
Inequivalent atoms, fractional coordinates:
Cd  0.000  0.000  0.000 x4
Ni  0.000  0.000  0.500 x4
Se  0.193  0.250  0.625 x8

(28)
Here is crystalline Cd2Ni2Se at its relaxed geometry from Alexandria via LeMat-Bulk. Energies are from PBE-GGA.

a b c (Å): 6.400 6.400 4.082
angles (deg): 90.00 90.00 90.00
Space group P4/mbm (No. 127)
Inequivalent atoms, fractional coordinates:
Cd  0.158  0.342  0.000 x4
Ni  0.145  0.645  0.500 x4
Se  0.000  0.000  0.500 x2

(29)
Here is crystalline Cd2NiSe at its relaxed geometry from Alexandria via LeMat-Bulk. Energies are from PBE-GGA.

a b c (Å): 4.160 4.200 8.920
angles (deg): 90.00 90.00 90.00
Space group Cmmm (No. 65)
Inequivalent atoms, fractional coordinates:
Cd  0.000  0.000  0.196 x4
Ni  0.000  0.500  0.000 x2
Se  0.000  0.500  0.500 x2

Energy relative to the elements, uncorrected for every record listed, in sequence, given in kJ/mol of atoms: -0.9, 6.6, 21.9, -9.0, 12.8, -24.8, 7.2, -2.1, 125.2, -5.1, 11.6, -25.9, -24.4, -7.3, 24.6, -23.7, 17.1, 10.9, -8.3, -26.2, 43.9, 69.5, 16.7, 14.0, 0.9, 22.1, -31.2, -0.9, 8.8.